Record 1
Density functional theory data (PBE) for a relaxed NaSr2CaHg crystal.

a b c (Å): 6.431 6.431 6.120
angles (deg): 90.00 90.00 90.00
Space group P4/mmm (No. 123)
One atom of each set of equivalent atoms:
Na 0.000 0.000 0.000
Sr 0.000 0.500 0.000
Ca 0.000 0.000 0.500
Hg 0.500 0.500 0.500

ΔH_f (0 K) = 0.355 eV per atom
Relative energy among the computed polymorphs = 474 meV per atom

***

Record 2
Density functional theory data (PBE) for a relaxed Li13Hg3 crystal.

a b c (Å): 9.676 5.882 10.150
angles (deg): 90.00 90.00 90.00
Space group Amm2 (No. 38)
One atom of each set of equivalent atoms:
Li 0.000 0.000 0.000
Li 0.000 0.000 0.504
Li 0.000 0.244 0.756
Li 0.256 0.000 0.332
Li 0.256 0.246 0.087
Li 0.500 0.000 0.675
Li 0.500 0.239 0.913
Hg 0.241 0.000 0.835
Hg 0.500 0.000 0.168

ΔH_f (0 K) = -0.206 eV per atom
Relative energy among the computed polymorphs = 0 meV per atom

***

Record 3
Density functional theory data (PBE) for a relaxed Tb12RuRh6 crystal.

a b c (Å): 12.4492 12.4492 11.4586
angles (deg): 90.00 90.00 120.00
Space group R-3 (No. 148, hexagonal axes)
One atom of each set of equivalent atoms:
Tb 0.0263 0.8122 0.3905
Tb 0.0381 0.8358 0.8804
Ru 0.0000 0.0000 0.0000
Rh 0.0438 0.7802 0.6445

ΔH_f (0 K) = -0.570 eV per atom

***

Record 4
Density functional theory data (PBE) for a relaxed AgSnIO5 crystal.

a b c (Å): 7.716 8.997 8.168
angles (deg): 90.00 117.56 90.00
Space group C2/c (No. 15)
One atom of each set of equivalent atoms:
Ag 0.000 0.180 0.250
Sn 0.000 0.500 0.000
I 0.000 0.206 0.750
O 0.000 0.479 0.750
O 0.056 0.273 0.529
O 0.186 0.052 0.866

Raw total energy = -4.739 eV per atom

***

Record 5
Density functional theory data (PBE) for a relaxed MgSn2HgOs crystal.

a b c (Å): 5.110 5.110 5.218
angles (deg): 90.00 90.00 90.00
Space group P4/mmm (No. 123)
One atom of each set of equivalent atoms:
Mg 0.000 0.000 0.000
Sn 0.000 0.500 0.500
Hg 0.500 0.500 0.000
Os 0.000 0.000 0.500

ΔH_f (0 K) = 0.091 eV per atom

***

Record 6
Density functional theory data (PBE) for a relaxed Zn2TcOs crystal.

a b c (Å): 3.736 3.736 8.265
angles (deg): 90.00 90.00 90.00
Space group I4/mmm (No. 139)
One atom of each set of equivalent atoms:
Zn 0.000 0.500 0.250
Tc 0.000 0.000 0.000
Os 0.000 0.000 0.500

ΔH_f (0 K) = 0.349 eV per atom
Relative energy among the computed polymorphs = 366 meV per atom